1.
MnAgOs2: optimized geometry, GGA-PBEsol.

```
4
Lattice="2.7289 0.0000 0.0000 0.0000 2.7289 0.0000 0.0000 0.0000 7.7367" Properties=species:S:1:pos:R:3 pbc="T T T"
Mn 0.0000 0.0000 0.0000
Ag 1.3644 1.3644 5.7446
Os 0.0000 0.0000 3.6009
Os 1.3644 1.3644 1.8510
```

M_tot in μB per cell: 3.141
Energy of formation from the pure elements in eV per atom: 0.38
Theoretical density in g/cm3: 15.7
Electronic total energy in eV/atom: -8.997
Crystal system: tetragonal
Symmetry: P4mm, No. 99

=====

2.
MnAgOs2: optimized geometry, GGA-PBEsol.

```
4
Lattice="0.0000 3.0332 3.0332 3.0332 0.0000 3.0332 3.0332 3.0332 0.0000" Properties=species:S:1:pos:R:3 pbc="T T T"
Mn 0.0000 0.0000 0.0000
Ag 3.0332 3.0332 3.0332
Os 1.5166 1.5166 1.5166
Os 4.5497 4.5497 4.5497
```

M_tot in μB per cell: 2.446
Energy of formation from the pure elements in eV per atom: 0.75
Theoretical density in g/cm3: 16.2
Electronic total energy in eV/atom: -8.624
Crystal system: cubic
Symmetry: Fm-3m, No. 225

=====

3.
TiMn2AgOs: optimized geometry, GGA-PBEsol.

```
5
Lattice="4.3824 0.0000 0.0000 0.0000 4.3824 0.0000 0.0000 0.0000 4.4918" Properties=species:S:1:pos:R:3 pbc="T T T"
Ti 0.0000 0.0000 0.0000
Mn 0.0000 2.1912 0.0000
Mn 2.1912 0.0000 0.0000
Ag 2.1912 2.1912 2.2459
Os 0.0000 0.0000 2.2459
```

M_tot in μB per cell: 6.179
Energy of formation from the pure elements in eV per atom: 1.41
Theoretical density in g/cm3: 8.8
Electronic total energy in eV/atom: -7.269
Crystal system: tetragonal
Symmetry: P4/mmm, No. 123

=====

4.
MnAg2P: optimized geometry, GGA-PBEsol.

```
4
Lattice="1.4251 0.8228 8.8541 -1.4251 0.8228 8.8541 0.0000 -1.6456 8.8541" Properties=species:S:1:pos:R:3 pbc="T T T"
Mn 0.0000 0.0000 0.0000
Ag 0.0000 0.0000 6.6328
Ag 0.0000 0.0000 19.9295
P 0.0000 0.0000 13.2812
```

M_tot in μB per cell: 3.888
Energy of formation from the pure elements in eV per atom: 0.41
Theoretical density in g/cm3: 8.0
Electronic total energy in eV/atom: -5.135
Crystal system: trigonal
Symmetry: R-3m, No. 166

=====

5.
Mn4AgP: optimized geometry, GGA-PBEsol.

```
6
Lattice="0.0000 3.3306 3.3306 3.3306 0.0000 3.3306 3.3306 3.3306 0.0000" Properties=species:S:1:pos:R:3 pbc="T T T"
Mn 0.8287 0.8287 0.8287
Mn 2.5019 2.5019 0.8287
Mn 2.5019 0.8287 2.5019
Mn 0.8287 2.5019 2.5019
Ag 3.3306 3.3306 3.3306
P 4.9959 4.9959 4.9959
```

M_tot in μB per cell: 5.470
Energy of formation from the pure elements in eV per atom: 0.54
Theoretical density in g/cm3: 8.1
Electronic total energy in eV/atom: -7.483
Crystal system: cubic
Symmetry: F-43m, No. 216

=====

6.
MnAg2P: optimized geometry, GGA-PBEsol.

```
4
Lattice="2.8292 0.0000 0.0000 0.0000 4.7809 0.0000 -0.0955 0.0000 4.5808" Properties=species:S:1:pos:R:3 pbc="T T T"
Mn 0.0000 0.0000 0.0000
Ag 0.6872 2.3905 3.4398
Ag 2.0465 2.3905 1.1411
P 1.3669 0.0000 2.2904
```

M_tot in μB per cell: 3.897
Energy of formation from the pure elements in eV per atom: 0.27
Theoretical density in g/cm3: 8.1
Electronic total energy in eV/atom: -5.278
Crystal system: monoclinic
Symmetry: P2/m, No. 10

=====

7.
MnAgP2: optimized geometry, GGA-PBEsol.

```
4
Lattice="4.5974 0.0000 0.0000 0.0000 4.5974 0.0000 0.0000 0.0000 2.7524" Properties=species:S:1:pos:R:3 pbc="T T T"
Mn 0.0000 0.0000 0.0000
Ag 2.2987 2.2987 0.0000
P 0.0000 2.2987 1.3762
P 2.2987 0.0000 1.3762
```

M_tot in μB per cell: 3.417
Energy of formation from the pure elements in eV per atom: 0.27
Theoretical density in g/cm3: 6.4
Electronic total energy in eV/atom: -5.897
Crystal system: tetragonal
Symmetry: P4/mmm, No. 123

=====

8.
Mn2AgPPb: optimized geometry, GGA-PBEsol.

```
5
Lattice="5.0310 0.0000 0.0000 0.0000 5.0310 0.0000 0.0000 0.0000 5.1704" Properties=species:S:1:pos:R:3 pbc="T T T"
Mn 0.0000 2.5155 0.0000
Mn 2.5155 0.0000 0.0000
Ag 0.0000 0.0000 2.5852
P 2.5155 2.5155 2.5852
Pb 2.5155 2.5155 0.0000
```

M_tot in μB per cell: 8.028
Energy of formation from the pure elements in eV per atom: 1.59
Theoretical density in g/cm3: 5.8
Electronic total energy in eV/atom: -4.937
Crystal system: tetragonal
Symmetry: P4/mmm, No. 123

=====

9.
MnAgPb2: optimized geometry, GGA-PBEsol.

```
4
Lattice="5.0481 0.0000 0.0000 0.0000 5.0481 0.0000 0.0000 0.0000 3.3912" Properties=species:S:1:pos:R:3 pbc="T T T"
Mn 0.0000 0.0000 0.0000
Ag 2.5241 2.5241 0.0000
Pb 0.0000 2.5241 1.6956
Pb 2.5241 0.0000 1.6956
```

M_tot in μB per cell: 3.908
Energy of formation from the pure elements in eV per atom: 0.36
Theoretical density in g/cm3: 11.1
Electronic total energy in eV/atom: -4.912
Crystal system: tetragonal
Symmetry: P4/mmm, No. 123

=====

10.
Mn3AgPd: optimized geometry, GGA-PBEsol.

```
5
Lattice="4.7379 0.0000 0.0000 0.0000 4.7379 0.0000 0.0000 0.0000 4.7379" Properties=species:S:1:pos:R:3 pbc="T T T"
Mn 0.0000 0.0000 2.3689
Mn 0.0000 2.3689 0.0000
Mn 2.3689 0.0000 0.0000
Ag 2.3689 2.3689 2.3689
Pd 0.0000 0.0000 0.0000
```

M_tot in μB per cell: 13.389
Energy of formation from the pure elements in eV per atom: 1.16
Theoretical density in g/cm3: 5.9
Electronic total energy in eV/atom: -6.555
Crystal system: cubic
Symmetry: Pm-3m, No. 221

=====

11.
MnAgPt: optimized geometry, GGA-PBEsol.

```
3
Lattice="0.0000 3.0169 3.0169 3.0169 0.0000 3.0169 3.0169 3.0169 0.0000" Properties=species:S:1:pos:R:3 pbc="T T T"
Mn 0.0000 0.0000 0.0000
Ag 1.5084 1.5084 1.5084
Pt 3.0169 3.0169 3.0169
```

M_tot in μB per cell: 4.577
Energy of formation from the pure elements in eV per atom: 0.58
Theoretical density in g/cm3: 10.8
Electronic total energy in eV/atom: -6.097
Crystal system: cubic
Symmetry: F-43m, No. 216

=====

12.
Mn2Ag2Pt: optimized geometry, GGA-PBEsol.

```
5
Lattice="-1.5042 1.5042 8.1173 1.5042 -1.5042 8.1173 1.5042 1.5042 -8.1173" Properties=species:S:1:pos:R:3 pbc="T T T"
Mn 1.5042 0.0000 4.0587
Mn 0.0000 1.5042 4.0587
Ag 0.0000 0.0000 1.7991
Ag 0.0000 0.0000 14.4356
Pt 0.0000 0.0000 8.1173
```

M_tot in μB per cell: 0.004
Energy of formation from the pure elements in eV per atom: 0.56
Theoretical density in g/cm3: 11.8
Electronic total energy in eV/atom: -6.062
Crystal system: tetragonal
Symmetry: I4/mmm, No. 139

=====

13.
MnAgPt2: optimized geometry, GGA-PBEsol.

```
4
Lattice="2.7842 -3.7869 0.0000 2.7842 3.7869 0.0000 0.0000 0.0000 2.8480" Properties=species:S:1:pos:R:3 pbc="T T T"
Mn 0.0000 0.0000 0.0000
Ag 2.7842 0.0000 0.0000
Pt 1.3921 1.8934 1.4240
Pt 1.3921 -1.8934 1.4240
```

M_tot in μB per cell: 4.421
Energy of formation from the pure elements in eV per atom: -0.06
Theoretical density in g/cm3: 15.3
Electronic total energy in eV/atom: -6.809
Crystal system: orthorhombic
Symmetry: Cmmm, No. 65

=====

14.
MnAgPt2: optimized geometry, GGA-PBEsol.

```
4
Lattice="2.8258 0.0000 0.0000 0.0000 3.6908 0.0000 0.0000 0.0000 5.7063" Properties=species:S:1:pos:R:3 pbc="T T T"
Mn 0.0000 0.0000 0.0000
Ag 0.0000 0.0000 2.8531
Pt 1.4129 1.8454 1.3601
Pt 1.4129 1.8454 4.3462
```

M_tot in μB per cell: 4.143
Energy of formation from the pure elements in eV per atom: -0.12
Theoretical density in g/cm3: 15.4
Electronic total energy in eV/atom: -6.866
Crystal system: orthorhombic
Symmetry: Pmmm, No. 47

=====

15.
MnAgPt2: optimized geometry, GGA-PBEsol.

```
4
Lattice="3.9360 0.0000 0.0000 0.0000 3.9360 0.0000 0.0000 0.0000 3.8442" Properties=species:S:1:pos:R:3 pbc="T T T"
Mn 0.0000 0.0000 0.0000
Ag 1.9680 1.9680 0.0000
Pt 0.0000 1.9680 1.9221
Pt 1.9680 0.0000 1.9221
```

M_tot in μB per cell: 4.303
Energy of formation from the pure elements in eV per atom: -0.13
Theoretical density in g/cm3: 15.4
Electronic total energy in eV/atom: -6.880
Crystal system: tetragonal
Symmetry: P4/mmm, No. 123

=====

16.
Mn2AgPt: optimized geometry, GGA-PBEsol.

```
4
Lattice="0.0000 3.0905 3.0905 3.0905 0.0000 3.0905 3.0905 3.0905 0.0000" Properties=species:S:1:pos:R:3 pbc="T T T"
Mn 0.0000 0.0000 0.0000
Mn 1.5453 1.5453 1.5453
Ag 3.0905 3.0905 3.0905
Pt 4.6358 4.6358 4.6358
```

M_tot in μB per cell: 7.666
Energy of formation from the pure elements in eV per atom: 0.23
Theoretical density in g/cm3: 11.6
Electronic total energy in eV/atom: -7.223
Crystal system: cubic
Symmetry: F-43m, No. 216

=====

17.
MnAgPt2: optimized geometry, GGA-PBEsol.

```
4
Lattice="-1.9698 1.9698 3.8364 1.9698 -1.9698 3.8364 1.9698 1.9698 -3.8364" Properties=species:S:1:pos:R:3 pbc="T T T"
Mn 0.0000 0.0000 0.0000
Ag 0.0000 0.0000 3.8364
Pt 1.9698 0.0000 1.9182
Pt 0.0000 1.9698 1.9182
```

M_tot in μB per cell: 4.123
Energy of formation from the pure elements in eV per atom: -0.11
Theoretical density in g/cm3: 15.4
Electronic total energy in eV/atom: -6.863
Crystal system: tetragonal
Symmetry: I4/mmm, No. 139

=====

18.
Ti2MnAgPt: optimized geometry, GGA-PBEsol.

```
5
Lattice="4.6678 0.0000 0.0000 0.0000 4.6678 0.0000 0.0000 0.0000 4.8669" Properties=species:S:1:pos:R:3 pbc="T T T"
Ti 0.0000 2.3339 0.0000
Ti 2.3339 0.0000 0.0000
Mn 0.0000 0.0000 2.4335
Ag 2.3339 2.3339 0.0000
Pt 2.3339 2.3339 2.4335
```

M_tot in μB per cell: 3.175
Energy of formation from the pure elements in eV per atom: 1.31
Theoretical density in g/cm3: 7.1
Electronic total energy in eV/atom: -6.024
Crystal system: tetragonal
Symmetry: P4/mmm, No. 123

=====

19.
RbMnAgRh2: optimized geometry, GGA-PBEsol.

```
5
Lattice="4.9422 0.0000 0.0000 0.0000 4.9422 0.0000 0.0000 0.0000 4.8328" Properties=species:S:1:pos:R:3 pbc="T T T"
Rb 0.0000 0.0000 0.0000
Mn 2.4711 2.4711 0.0000
Ag 2.4711 2.4711 2.4164
Rh 0.0000 2.4711 2.4164
Rh 2.4711 0.0000 2.4164
```

M_tot in μB per cell: 5.214
Energy of formation from the pure elements in eV per atom: 1.42
Theoretical density in g/cm3: 6.4
Electronic total energy in eV/atom: -4.657
Crystal system: tetragonal
Symmetry: P4/mmm, No. 123

=====

20.
Mn2ReAg: optimized geometry, GGA-PBEsol.

```
4
Lattice="3.8920 0.0000 0.0000 0.0000 3.8920 0.0000 0.0000 0.0000 3.4423" Properties=species:S:1:pos:R:3 pbc="T T T"
Mn 0.0000 1.9460 0.0000
Mn 1.9460 0.0000 0.0000
Re 0.0000 0.0000 1.7211
Ag 1.9460 1.9460 1.7211
```

M_tot in μB per cell: 2.555
Energy of formation from the pure elements in eV per atom: 0.52
Theoretical density in g/cm3: 12.9
Electronic total energy in eV/atom: -8.526
Crystal system: tetragonal
Symmetry: P4/mmm, No. 123